1.
The following is a DFT calculation (PBE-GGA) of a geometry-optimized MgTaP2 structure.

abc: 12.6207 3.2830 3.5755
angles: 90.00 90.49 90.00
Closest atoms and distances in Å follow each position.
Space group Cm (No. 8)
Unique sites:
Mg (0.0000, 0.0000, 0.0000) x2  5 P 2.59
Ta (0.2213, 0.0000, 0.5084) x2  6 P 2.49-2.60
P (0.0727, 0.5000, 0.5024) x2  2 Ta 2.49, 4 Mg 2.59
P (0.2945, 0.5000, 0.0107) x2  1 Mg 2.59, 4 Ta 2.60

Computed properties:
N(E_F) = 0.6030 states/eV per atom
calculated formation energy = -1.9 eV/f.u.
total DFT energy (no corrections) = -6.550 eV/atom

---

2.
The following is a DFT calculation (PBE-GGA) of a geometry-optimized Mg3TaP structure.

abc: 4.8304 4.8304 4.8304
angles: 90.00 90.00 90.00
Closest atoms and distances in Å follow each position.
Space group Pm-3m (No. 221)
Unique sites:
Mg (0.0000, 0.0000, 0.5000) x3  2 P 2.42
Ta (0.5000, 0.5000, 0.5000) x1  12 Mg 3.42
P (0.0000, 0.0000, 0.0000) x1  6 Mg 2.42

Computed properties:
N(E_F) = 0.9774 states/eV per atom
excess energy over the best structure of this formula in the dataset = 0 meV/atom
calculated formation energy = 3.6 eV/f.u.
total DFT energy (no corrections) = -3.694 eV/atom

---

3.
The following is a DFT calculation (PBE-GGA) of a geometry-optimized MgTaP2 structure.

abc: 3.5522 4.6470 8.6957
angles: 90.00 90.00 90.00
Closest atoms and distances in Å follow each position.
Space group Cmm2 (No. 35)
Unique sites:
Mg (0.0000, 0.0000, 0.0000) x2  2 P 2.60
Ta (0.0000, 0.5000, 0.7249) x2  2 P 2.47
P (0.0000, 0.0000, 0.5278) x2  2 Ta 2.47
P (0.0000, 0.5000, 0.2184) x2  2 Mg 2.60

Computed properties:
N(E_F) = 0.2847 states/eV per atom
calculated formation energy = 0.6 eV/f.u.
total DFT energy (no corrections) = -5.912 eV/atom

---

4.
The following is a DFT calculation (PBE-GGA) of a geometry-optimized MgTaP2 structure.

abc: 3.6411 3.6411 9.6034
angles: 90.00 90.00 90.00
Closest atoms and distances in Å follow each position.
Space group I-4m2 (No. 119)
Unique sites:
Mg (0.0000, 0.0000, 0.0000) x2  4 P 2.57
Ta (0.0000, 0.5000, 0.2500) x2  4 P 2.57
P (0.0000, 0.0000, 0.5000) x2  4 Mg 2.57
P (0.0000, 0.5000, 0.7500) x2  4 Ta 2.57

Computed properties:
N(E_F) = 0.5140 states/eV per atom
calculated formation energy = -0.6 eV/f.u.
total DFT energy (no corrections) = -6.210 eV/atom

---

5.
The following is a DFT calculation (PBE-GGA) of a geometry-optimized MgTaP2 structure.

abc: 3.5041 3.5041 19.5975
angles: 90.00 90.00 120.00
Closest atoms and distances in Å follow each position.
Space group R-3m (No. 166, hexagonal axes)
Unique sites:
Mg (0.0000, 0.0000, 0.0000) x3  6 P 2.66
Ta (0.0000, 0.0000, 0.5000) x3  6 P 2.55
P (0.0000, 0.0000, 0.2455) x6  3 Ta 2.55, 3 Mg 2.66

Computed properties:
N(E_F) = 0.4113 states/eV per atom
calculated formation energy = -2.3 eV/f.u.
total DFT energy (no corrections) = -6.648 eV/atom

---

6.
The following is a DFT calculation (PBE-GGA) of a geometry-optimized MgTaP2 structure.

abc: 3.6286 3.6286 5.1757
angles: 90.00 90.00 90.00
Closest atoms and distances in Å follow each position.
Space group P4mm (No. 99)
Unique sites:
Mg (0.0000, 0.0000, 0.0000) x1  6 P 2.57-2.60
Ta (0.5000, 0.5000, 0.5181) x1  6 P 2.56-2.62
P (0.0000, 0.0000, 0.5021) x1  4 Ta 2.57, 2 Mg 2.58-2.60
P (0.5000, 0.5000, 0.0119) x1  2 Ta 2.56-2.62, 4 Mg 2.57

Computed properties:
N(E_F) = 0.4328 states/eV per atom
calculated formation energy = -1.8 eV/f.u.
total DFT energy (no corrections) = -6.528 eV/atom

---

7.
The following is a DFT calculation (PBE-GGA) of a geometry-optimized MgTaP3 structure.

abc: 4.8264 4.8264 4.8264
angles: 90.00 90.00 90.00
Closest atoms and distances in Å follow each position.
Space group Pm-3m (No. 221)
Unique sites:
Mg (0.0000, 0.0000, 0.0000) x1  12 P 3.41
Ta (0.5000, 0.5000, 0.5000) x1  6 P 2.41
P (0.0000, 0.5000, 0.5000) x3  2 Ta 2.41

Computed properties:
N(E_F) = 0.7189 states/eV per atom
excess energy over the best structure of this formula in the dataset = 0 meV/atom
calculated formation energy = 1.1 eV/f.u.
total DFT energy (no corrections) = -5.725 eV/atom

---

8.
The following is a DFT calculation (PBE-GGA) of a geometry-optimized Mg2TaP4 structure.

abc: 4.8326 4.8326 12.8621
angles: 90.00 90.00 90.00
Closest atoms and distances in Å follow each position.
Space group I4/mmm (No. 139)
Unique sites:
Mg (0.0000, 0.0000, 0.1155) x4  1 P 2.43
Ta (0.0000, 0.0000, 0.5000) x2  6 P 2.42-2.51
P (0.0000, 0.0000, 0.3046) x4  1 Mg 2.43, 1 Ta 2.51
P (0.0000, 0.5000, 0.0000) x4  2 Ta 2.42

Computed properties:
N(E_F) = 0.6736 states/eV per atom
calculated formation energy = 0.5 eV/f.u.
total DFT energy (no corrections) = -5.173 eV/atom

---

9.
The following is a DFT calculation (PBE-GGA) of a geometry-optimized MgTaP2 structure.

abc: 6.5800 6.8474 3.0448
angles: 90.00 106.73 90.00
Closest atoms and distances in Å follow each position.
Space group C2/m (No. 12)
Unique sites:
Mg (0.0000, 0.0000, 0.0000) x2  4 P 2.55
Ta (0.0000, 0.5000, 0.0000) x2  4 P 2.55
P (0.2500, 0.2500, 0.5000) x4  2 Mg 2.55, 2 Ta 2.55

Computed properties:
N(E_F) = 0.5436 states/eV per atom
calculated formation energy = -0.7 eV/f.u.
total DFT energy (no corrections) = -6.235 eV/atom

---

10.
The following is a DFT calculation (PBE-GGA) of a geometry-optimized MgTa4P structure.

abc: 7.7799 7.7799 7.7799
angles: 90.00 90.00 90.00
Closest atoms and distances in Å follow each position.
Space group F-43m (No. 216)
Unique sites:
Mg (0.0000, 0.0000, 0.0000) x4  12 Ta 3.22, 4 P 3.37
Ta (0.1269, 0.1269, 0.3731) x16  6 Ta 2.71-2.79
P (0.2500, 0.2500, 0.7500) x4  12 Ta 3.23, 4 Mg 3.37

Computed properties:
N(E_F) = 0.8292 states/eV per atom
calculated formation energy = 3.8 eV/f.u.
total DFT energy (no corrections) = -8.436 eV/atom

---

11.
The following is a DFT calculation (PBE-GGA) of a geometry-optimized MgTaP2 structure.

abc: 3.7164 4.7987 7.0549
angles: 90.00 90.00 90.00
Closest atoms and distances in Å follow each position.
Space group Immm (No. 71)
Unique sites:
Mg (0.0000, 0.0000, 0.0000) x2  4 P 2.53
Ta (0.0000, 0.0000, 0.5000) x2  4 P 2.60
P (0.0000, 0.5000, 0.2572) x4  2 Mg 2.53, 2 Ta 2.60

Computed properties:
N(E_F) = 0.5258 states/eV per atom
calculated formation energy = -0.7 eV/f.u.
total DFT energy (no corrections) = -6.253 eV/atom

---

12.
The following is a DFT calculation (PBE-GGA) of a geometry-optimized Mg4TaP structure.

abc: 7.8147 7.8147 7.8147
angles: 90.00 90.00 90.00
Closest atoms and distances in Å follow each position.
Space group F-43m (No. 216)
Unique sites:
Mg (0.1244, 0.1244, 0.3756) x16  6 Mg 2.75-2.78
Ta (0.2500, 0.2500, 0.7500) x4  12 Mg 3.24, 4 P 3.38
P (0.0000, 0.0000, 0.0000) x4  12 Mg 3.24, 4 Ta 3.38

Computed properties:
N(E_F) = 0.7776 states/eV per atom
calculated formation energy = 3.7 eV/f.u.
total DFT energy (no corrections) = -3.331 eV/atom

---

13.
The following is a DFT calculation (PBE-GGA) of a geometry-optimized MgTaP2 structure.

abc: 6.3299 6.3299 6.3299
angles: 90.00 90.00 90.00
Closest atoms and distances in Å follow each position.
Space group F-43m (No. 216)
Unique sites:
Mg (0.0000, 0.0000, 0.0000) x4  4 Ta 2.74, 4 P 2.74
Ta (0.2500, 0.2500, 0.2500) x4  4 Mg 2.74, 4 P 2.74
P (0.0000, 0.0000, 0.5000) x4  4 Ta 2.74, 4 P 2.74
P (0.2500, 0.2500, 0.7500) x4  4 Mg 2.74, 4 P 2.74

Computed properties:
N(E_F) = 0.8974 states/eV per atom
calculated formation energy = 2.0 eV/f.u.
total DFT energy (no corrections) = -5.569 eV/atom

---

14.
The following is a DFT calculation (PBE-GGA) of a geometry-optimized MgTa3P structure.

abc: 4.7058 4.7058 4.7058
angles: 90.00 90.00 90.00
Closest atoms and distances in Å follow each position.
Space group Pm-3m (No. 221)
Unique sites:
Mg (0.0000, 0.0000, 0.0000) x1  6 Ta 2.35
Ta (0.0000, 0.0000, 0.5000) x3  2 Mg 2.35
P (0.5000, 0.5000, 0.5000) x1  12 Ta 3.33

Computed properties:
N(E_F) = 1.1787 states/eV per atom
excess energy over the best structure of this formula in the dataset = 1735 meV/atom
calculated formation energy = 10.5 eV/f.u.
total DFT energy (no corrections) = -6.421 eV/atom

---

15.
The following is a DFT calculation (PBE-GGA) of a geometry-optimized MgTaP2 structure.

abc: 3.4983 3.4983 19.9534
angles: 90.00 90.00 120.00
Closest atoms and distances in Å follow each position.
Space group R3m (No. 160, hexagonal axes)
Unique sites:
Mg (0.0000, 0.0000, 0.0000) x3  6 P 2.69-2.70
Ta (0.0000, 0.0000, 0.8332) x3  6 P 2.54-2.55
P (0.0000, 0.0000, 0.2438) x3  3 Ta 2.54, 3 Mg 2.70
P (0.0000, 0.0000, 0.4223) x3  3 Ta 2.55, 3 Mg 2.69

Computed properties:
N(E_F) = 0.4196 states/eV per atom
calculated formation energy = -2.1 eV/f.u.
total DFT energy (no corrections) = -6.603 eV/atom